(1)
Crystalline InTeHI2 at its relaxed geometry. Source: the Alexandria database, functional GGA-PBE.

* total energy: -2.31 eV per atom

abc: 6.044 6.044 3.955
angles: 90.00 90.00 90.00
Positions (direct):
In: 0.000 0.000 0.000
Te: 0.500 0.500 0.000
H: 0.500 0.500 0.500
I: 0.000 0.500 0.500
I: 0.500 0.000 0.500

***

(2)
Crystalline HoSc5Bi3 at its relaxed geometry. Source: the Alexandria database, functional GGA-PBE.

* total energy: -5.48 eV per atom
* calculated formation energy: -1.4 eV per formula unit

abc: 8.354 8.354 9.989
angles: 112.83 112.83 62.00
Positions (direct):
Ho: 0.140 0.140 0.349
Ho: 0.860 0.860 0.651
Sc: 0.081 0.696 0.218
Sc: 0.292 0.292 0.041
Sc: 0.304 0.919 0.782
Sc: 0.329 0.671 0.000
Sc: 0.463 0.463 0.684
Sc: 0.537 0.537 0.316
Sc: 0.671 0.329 0.000
Sc: 0.696 0.081 0.218
Sc: 0.708 0.708 0.959
Sc: 0.919 0.304 0.782
Bi: 0.000 0.000 0.000
Bi: 0.000 0.000 0.500
Bi: 0.288 0.288 0.744
Bi: 0.349 0.349 0.357
Bi: 0.651 0.651 0.643
Bi: 0.712 0.712 0.256

***

(3)
Crystalline LiGePd5 at its relaxed geometry. Source: the Alexandria database, functional GGA-PBE.

* total energy: -4.87 eV per atom
* calculated formation energy: -1.6 eV per formula unit

abc: 6.166 6.166 7.000
angles: 110.82 110.82 98.45
Positions (direct):
Li: 0.192 0.808 0.750
Li: 0.808 0.192 0.250
Ge: 0.000 0.500 0.000
Ge: 0.500 0.000 0.500
Pd: 0.071 0.929 0.250
Pd: 0.184 0.370 0.645
Pd: 0.285 0.573 0.394
Pd: 0.370 0.184 0.145
Pd: 0.427 0.715 0.106
Pd: 0.573 0.285 0.894
Pd: 0.630 0.816 0.855
Pd: 0.715 0.427 0.606
Pd: 0.816 0.630 0.355
Pd: 0.929 0.071 0.750

***

(4)
Crystalline Sm2Er6Tm3Sc at its relaxed geometry. Source: the Alexandria database, functional GGA-PBE.

* total energy: -4.68 eV per atom
* calculated formation energy: 0.4 eV per formula unit

abc: 6.057 6.057 11.620
angles: 94.98 94.98 119.95
Positions (direct):
Sm: 0.167 0.833 0.000
Sm: 0.833 0.167 0.000
Er: 0.086 0.417 0.749
Er: 0.253 0.253 0.251
Er: 0.417 0.086 0.749
Er: 0.583 0.914 0.251
Er: 0.747 0.747 0.749
Er: 0.914 0.583 0.251
Tm: 0.000 0.000 0.500
Tm: 0.334 0.666 0.500
Tm: 0.666 0.334 0.500
Sc: 0.500 0.500 0.000

***

Computed density of states at the Fermi level, in the same sequence as the records: 0.79; 1.22; 0.52; 1.38 states/eV/atom.